Record 1
Here is crystalline LaPr2Zn2Ge2 at its relaxed geometry from the Alexandria database. Energies are from PBE.

Structure (CIF):
```
data_LaPr2Zn2Ge2
_chemical_formula_sum 'La3 Pr6 Zn6 Ge6'
_space_group_name_H-M_alt 'R -3 m'
_space_group_IT_number 166
_space_group_name_Hall '-R 3 2"'
_cell_length_a 4.2334
_cell_length_b 4.2334
_cell_length_c 35.4142
_cell_angle_alpha 90.00
_cell_angle_beta 90.00
_cell_angle_gamma 120.00
loop_
_atom_site_label
_atom_site_fract_x
_atom_site_fract_y
_atom_site_fract_z
_atom_site_occupancy
La1 0.0000 0.0000 0.0000 1
Pr1 0.0000 0.0000 0.1226 1
Zn1 0.0000 0.0000 0.3984 1
Ge1 0.0000 0.0000 0.2728 1
```

Summary:
Energy of formation   -0.5035 eV/atom

Record 2
Here is crystalline NdDy3Al2 at its relaxed geometry from the Alexandria database. Energies are from PBE.

Structure (CIF):
```
data_NdDy3Al2
_chemical_formula_sum 'Nd1 Dy3 Al2'
_space_group_name_H-M_alt 'P 4/m m m'
_space_group_IT_number 123
_space_group_name_Hall '-P 4 2'
_cell_length_a 3.561
_cell_length_b 3.561
_cell_length_c 12.657
_cell_angle_alpha 90.00
_cell_angle_beta 90.00
_cell_angle_gamma 90.00
loop_
_atom_site_label
_atom_site_fract_x
_atom_site_fract_y
_atom_site_fract_z
_atom_site_occupancy
Nd1 0.000 0.000 0.000 1
Dy1 0.500 0.500 0.207 1
Dy2 0.500 0.500 0.500 1
Al1 0.000 0.000 0.352 1
```

Summary:
Energy of formation   -0.2543 eV/atom
Distance to the lowest polymorph of the same formula   0 meV/atom

Record 3
Here is crystalline RbSrNdF6 at its relaxed geometry from the Alexandria database. Energies are from PBE.

Structure (CIF):
```
data_RbSrNdF6
_chemical_formula_sum 'Rb4 Sr4 Nd4 F24'
_space_group_name_H-M_alt 'I m m a'
_space_group_IT_number 74
_space_group_name_Hall '-I 2b 2'
_cell_length_a 8.505
_cell_length_b 8.797
_cell_length_c 12.664
_cell_angle_alpha 90.00
_cell_angle_beta 90.00
_cell_angle_gamma 90.00
loop_
_atom_site_label
_atom_site_fract_x
_atom_site_fract_y
_atom_site_fract_z
_atom_site_occupancy
Rb1 0.000 0.250 0.045 1
Sr1 0.250 0.250 0.750 1
Nd1 0.000 0.000 0.500 1
F1 0.000 0.250 0.443 1
F2 0.000 0.250 0.835 1
F3 0.196 0.060 0.615 1
```

Summary:
E_form (uncorrected)   -3.639 eV per atom

Record 4
Here is crystalline NbFeCoW2 at its relaxed geometry from the Alexandria database. Energies are from PBE.

Structure (CIF):
```
data_NbFeCoW2
_chemical_formula_sum 'Nb1 Fe1 Co1 W2'
_space_group_name_H-M_alt 'P 4/m m m'
_space_group_IT_number 123
_space_group_name_Hall '-P 4 2'
_cell_length_a 4.419
_cell_length_b 4.419
_cell_length_c 4.493
_cell_angle_alpha 90.00
_cell_angle_beta 90.00
_cell_angle_gamma 90.00
loop_
_atom_site_label
_atom_site_fract_x
_atom_site_fract_y
_atom_site_fract_z
_atom_site_occupancy
Nb1 0.000 0.000 0.000 1
Fe1 0.000 0.000 0.500 1
Co1 0.500 0.500 0.000 1
W1 0.000 0.500 0.500 1
```

Summary:
Energy of formation   1.3559 eV/atom

Record 5
Here is crystalline CsBe2Cr2 at its relaxed geometry from the Alexandria database. Energies are from PBE.

Structure (CIF):
```
data_CsBe2Cr2
_chemical_formula_sum 'Cs2 Be4 Cr4'
_space_group_name_H-M_alt 'P 4/m b m'
_space_group_IT_number 127
_space_group_name_Hall '-P 4 2ab'
_cell_length_a 8.664
_cell_length_b 8.664
_cell_length_c 3.256
_cell_angle_alpha 90.00
_cell_angle_beta 90.00
_cell_angle_gamma 90.00
loop_
_atom_site_label
_atom_site_fract_x
_atom_site_fract_y
_atom_site_fract_z
_atom_site_occupancy
Cs1 0.000 0.000 0.000 1
Be1 0.107 0.393 0.000 1
Cr1 0.077 0.577 0.500 1
```

Summary:
Energy of formation   1.1450 eV/atom
Distance to the lowest polymorph of the same formula   158 meV/atom

Record 6
Here is crystalline Ho2LuGa at its relaxed geometry from the Alexandria database. Energies are from PBE.

Structure (CIF):
```
data_Ho2LuGa
_chemical_formula_sum 'Ho2 Lu1 Ga1'
_space_group_name_H-M_alt 'P 4/m m m'
_space_group_IT_number 123
_space_group_name_Hall '-P 4 2'
_cell_length_a 3.482
_cell_length_b 3.482
_cell_length_c 8.835
_cell_angle_alpha 90.00
_cell_angle_beta 90.00
_cell_angle_gamma 90.00
loop_
_atom_site_label
_atom_site_fract_x
_atom_site_fract_y
_atom_site_fract_z
_atom_site_occupancy
Ho1 0.000 0.000 0.212 1
Lu1 0.500 0.500 0.500 1
Ga1 0.500 0.500 0.000 1
```

Summary:
Energy of formation   -0.2719 eV/atom
Distance to the lowest polymorph of the same formula   0 meV/atom